Entry 1:
PrErAs2Rh5 | GGA-PBE | optimized geometry

Geometry as POSCAR:
```
PrErAs2Rh5
1.0
4.2807 0.0000 0.0000
0.0000 4.2807 0.0000
0.0000 0.0000 8.8309
Rh Pr Er As
5 1 1 2
Direct
0.0000 0.5000 0.2597
0.5000 0.0000 0.7403
0.5000 0.0000 0.2597
0.0000 0.5000 0.7403
0.5000 0.5000 0.5000
0.0000 0.0000 0.5000
0.0000 0.0000 0.0000
0.5000 0.5000 0.8552
0.5000 0.5000 0.1448
```

Values from the calculation:
DOS(E_F): 3.9 states/eV per cell
ΔH_f (0 K): -719 meV/atom
size of the total moment: 0.00 μB/atom
ρ: 10.0 g/cm3

Entry 2:
Pr2ErAs3Rh4 | GGA-PBE | optimized geometry

Geometry as POSCAR:
```
Pr2ErAs3Rh4
1.0
-3.9909 0.6182 -0.9550
0.7423 -1.2249 -3.8949
-2.3684 -10.7596 2.9323
As Pr Rh Er
3 2 4 1
Direct
0.0000 0.5000 0.1278
0.0000 0.0000 0.5000
0.5000 0.0000 0.8722
0.5000 0.0000 0.2269
0.0000 0.5000 0.7731
0.5000 0.0000 0.6574
0.0000 0.0000 0.0000
0.0000 0.5000 0.3426
0.5000 0.5000 0.0000
0.5000 0.5000 0.5000
```

Values from the calculation:
DOS(E_F): 6.2 states/eV per cell
ΔH_f (0 K): -969 meV/atom
size of the total moment: 0.00 μB/atom
ρ: 9.2 g/cm3

Entry 3:
PrErSbAs | GGA-PBE | optimized geometry

Geometry as POSCAR:
```
PrErSbAs
1.0
-2.6693 -3.2851 0.8328
0.2062 -3.6003 -2.3677
3.9285 -5.0050 4.0224
As Er Sb Pr
1 1 1 1
Direct
0.2456 0.2456 0.2632
0.5055 0.5055 0.4835
0.7545 0.7545 0.7365
0.9944 0.9944 0.0168
```

Values from the calculation:
DOS(E_F): 0.7 states/eV per cell
size of the total moment: 0.00 μB/atom
ρ: 7.3 g/cm3
ΔE_f (raw): -1301 meV per atom

Entry 4:
PrEr2ScAs4 | GGA-PBE | optimized geometry

Geometry as POSCAR:
```
PrEr2ScAs4
1.0
-3.0029 -2.1688 1.7660
-2.0020 -2.4069 -6.3600
4.8210 -4.4059 2.7869
Er As Sc Pr
2 4 1 1
Direct
0.0000 0.5000 0.5000
0.5000 0.0000 0.5000
0.5000 0.7624 0.7531
0.5000 0.2376 0.2469
0.0000 0.2367 0.7444
0.0000 0.7633 0.2556
0.0000 0.0000 0.0000
0.5000 0.5000 0.0000
```

Values from the calculation:
DOS(E_F): 0.8 states/eV per cell
ΔH_f (0 K): -1436 meV/atom
size of the total moment: 0.00 μB/atom
ρ: 7.0 g/cm3

Entry 5:
PrErAsSe | GGA-PBE | optimized geometry

Geometry as POSCAR:
```
PrErAsSe
1.0
4.1631 0.0000 0.0000
2.0815 3.6053 0.0000
2.0815 1.2018 6.8850
Er Pr Se As
1 1 1 1
Direct
0.5040 0.5040 0.4880
0.9961 0.9961 0.0118
0.7555 0.7555 0.7336
0.2445 0.2445 0.2666
```

Values from the calculation:
DOS(E_F): 1.6 states/eV per cell
size of the total moment: 0.00 μB/atom
ρ: 7.4 g/cm3
ΔE_f (raw): -1698 meV per atom

Entry 6:
PrSm2Er3As6 | GGA-PBE | optimized geometry

Geometry as POSCAR:
```
PrSm2Er3As6
1.0
-3.6309 2.0450 0.0706
-3.0970 -5.6796 5.2407
5.4160 5.1782 5.5247
As Sm Er Pr
6 2 3 1
Direct
0.3300 0.9205 0.6601
0.6648 0.5878 0.3297
0.6700 0.0795 0.3399
0.3352 0.4122 0.6703
0.9984 0.2587 0.9968
0.0016 0.7413 0.0032
0.1672 0.3340 0.3344
0.8328 0.6660 0.6656
0.1664 0.8328 0.3329
0.8336 0.1672 0.6671
0.5000 0.5000 0.0000
0.5000 0.0000 0.0000
```

Values from the calculation:
DOS(E_F): 1.9 states/eV per cell
ΔH_f (0 K): -1511 meV/atom
size of the total moment: 0.00 μB/atom
ρ: 7.5 g/cm3

Entry 7:
PrSm2ErAs4 | GGA-PBE | optimized geometry

Geometry as POSCAR:
```
PrSm2ErAs4
1.0
-0.2658 -3.6177 -2.1375
-3.3189 -3.1167 5.6875
-7.2042 0.8880 -0.6072
Sm Er Pr As
2 1 1 4
Direct
0.0000 0.0000 0.0000
0.5000 0.0000 0.5000
0.0000 0.5000 0.5000
0.5000 0.5000 0.0000
0.0000 0.7509 0.7435
0.5000 0.7464 0.2572
0.0000 0.2491 0.2565
0.5000 0.2536 0.7428
```

Values from the calculation:
DOS(E_F): 0.7 states/eV per cell
ΔH_f (0 K): -1507 meV/atom
size of the total moment: 0.00 μB/atom
ρ: 7.2 g/cm3

Entry 8:
PrSmEr2As4 | GGA-PBE | optimized geometry

Geometry as POSCAR:
```
PrSmEr2As4
1.0
4.1764 0.0000 0.0000
0.0000 7.2209 -0.1400
0.0000 2.5430 6.7672
As Sm Er Pr
4 1 2 1
Direct
0.0000 0.2400 0.2509
0.5000 0.2380 0.7565
0.5000 0.7620 0.2435
0.0000 0.7600 0.7491
0.5000 0.5000 0.0000
0.0000 0.0000 0.0000
0.5000 0.0000 0.5000
0.0000 0.5000 0.5000
```

Values from the calculation:
DOS(E_F): 0.9 states/eV per cell
ΔH_f (0 K): -1508 meV/atom
size of the total moment: 0.00 μB/atom
ρ: 7.5 g/cm3

- Which of these has the lowest ρ?
  PrEr2ScAs4